Record 1
Below is BaCa2Ag after structural relaxation, with properties calculated at the PBE level.

raw total energy = -2.134 eV/atom
polymorph energy (0 for the lowest one) = 0.90 eV/f.u.
mass density = 4.0 g cm⁻³
symmetry = Fm-3m, No. 225
ΔE_f = 60 meV/atom

Cell: 5.764 5.764 5.764 Å, 60.00 60.00 60.00°
Element x y z (fractional)
Ca 0.250 0.250 0.250
Ca 0.750 0.750 0.750
Ba 0.500 0.500 0.500
Ag 0.000 0.000 0.000

=====

Record 2
Below is Ba3Ca2Ag2 after structural relaxation, with properties calculated at the PBE level.

raw total energy = -2.360 eV/atom
mass density = 4.0 g cm⁻³
symmetry = C2/m, No. 12
ΔE_f = -150 meV/atom

Cell: 4.329 7.648 10.025 Å, 66.95 90.00 73.58°
Element x y z (fractional)
Ba 0.500 0.000 0.000
Ba 0.616 0.768 0.436
Ba 0.384 0.232 0.564
Ca 0.827 0.345 0.171
Ca 0.173 0.655 0.829
Ag 0.812 0.377 0.788
Ag 0.188 0.623 0.212

=====

Record 3
Below is Ba2Ca2Ag15 after structural relaxation, with properties calculated at the PBE level.

raw total energy = -2.810 eV/atom
mass density = 7.7 g cm⁻³
symmetry = R-3m, No. 166
ΔE_f = -145 meV/atom

Cell: 7.606 7.606 7.606 Å, 81.91 81.91 81.91°
Element x y z (fractional)
Ba 0.353 0.353 0.353
Ba 0.647 0.647 0.647
Ca 0.106 0.106 0.106
Ca 0.894 0.894 0.894
Ag 0.500 0.000 0.000
Ag 0.000 0.000 0.500
Ag 0.000 0.500 0.000
Ag 0.000 0.704 0.296
Ag 0.704 0.296 0.000
Ag 0.296 0.000 0.704
Ag 0.296 0.704 0.000
Ag 0.704 0.000 0.296
Ag 0.000 0.296 0.704
Ag 0.155 0.652 0.652
Ag 0.652 0.652 0.155
Ag 0.652 0.155 0.652
Ag 0.845 0.348 0.348
Ag 0.348 0.348 0.845
Ag 0.348 0.845 0.348

=====

Record 4
Below is BaCa2Ag after structural relaxation, with properties calculated at the PBE level.

raw total energy = -2.320 eV/atom
polymorph energy (0 for the lowest one) = 0.16 eV/f.u.
mass density = 3.6 g cm⁻³
symmetry = P4/mmm, No. 123
ΔE_f = -126 meV/atom

Cell: 3.879 3.879 9.969 Å, 90.00 90.00 90.01°
Element x y z (fractional)
Ca 0.000 0.000 0.075
Ca 0.000 0.000 0.425
Ba 0.500 0.500 0.750
Ag 0.500 0.500 0.250

=====

Record 5
Below is BaCa2Ag3 after structural relaxation, with properties calculated at the PBE level.

raw total energy = -2.689 eV/atom
mass density = 5.3 g cm⁻³
symmetry = P4/mmm, No. 123
ΔE_f = -276 meV/atom

Cell: 3.890 3.890 11.266 Å, 90.00 90.00 90.00°
Element x y z (fractional)
Ba 0.500 0.500 0.500
Ca 0.500 0.500 0.843
Ca 0.500 0.500 0.157
Ag 0.000 0.000 0.000
Ag 0.000 0.000 0.703
Ag 0.000 0.000 0.297

=====

Record 6
Below is BaCa2Ag after structural relaxation, with properties calculated at the PBE level.

raw total energy = -2.265 eV/atom
polymorph energy (0 for the lowest one) = 0.38 eV/f.u.
mass density = 3.2 g cm⁻³
symmetry = R-3m, No. 166
ΔE_f = -70 meV/atom

Cell: 10.719 10.719 10.719 Å, 23.22 23.22 23.22°
Element x y z (fractional)
Ca 0.972 0.972 0.972
Ca 0.528 0.528 0.528
Ba 0.750 0.750 0.750
Ag 0.250 0.250 0.250

=====

Record 7
Below is BaCa4Ag after structural relaxation, with properties calculated at the PBE level.

raw total energy = -2.207 eV/atom
polymorph energy (0 for the lowest one) = 0.00 eV/f.u.
mass density = 2.7 g cm⁻³
symmetry = P2_1/m, No. 11
ΔE_f = -77 meV/atom

Cell: 6.297 7.497 10.876 Å, 90.00 99.00 90.00°
Element x y z (fractional)
Ba 0.266 0.750 0.551
Ba 0.734 0.250 0.449
Ca 0.687 0.750 0.278
Ca 0.313 0.250 0.722
Ca 0.359 0.750 0.939
Ca 0.641 0.250 0.061
Ca 0.163 0.007 0.204
Ca 0.837 0.507 0.796
Ca 0.163 0.493 0.204
Ca 0.837 0.993 0.796
Ag 0.863 0.750 0.028
Ag 0.137 0.250 0.972

=====

Record 8
Below is BaCa2Ag after structural relaxation, with properties calculated at the PBE level.

raw total energy = -2.246 eV/atom
polymorph energy (0 for the lowest one) = 0.46 eV/f.u.
mass density = 3.5 g cm⁻³
symmetry = Imm2, No. 44
ΔE_f = -52 meV/atom

Cell: 7.107 7.107 7.107 Å, 146.23 129.39 62.24°
Element x y z (fractional)
Ca 0.996 0.996 0.000
Ca 0.696 0.196 0.500
Ba 0.295 0.795 0.500
Ag 0.513 0.513 0.000

=====

Which value of raw total energy does entry 6 give?
-2.265 eV/atom

=====

ΔE_f of number 7 (BaCa4Ag)?
-77 meV/atom